Entry 1:
This record from the Alexandria database describes crystalline TlPtPb3 at its relaxed geometry. The functional is PBE-GGA.

```
TlPtPb3
1.0
5.4770 0.0000 0.0000
0.0000 5.4770 0.0000
0.0000 0.0000 5.4770
Tl Pt Pb
1 1 3
Cartesian
0.0000 0.0000 0.0000
2.7385 2.7385 2.7385
0.0000 2.7385 2.7385
2.7385 0.0000 2.7385
2.7385 2.7385 0.0000
```

Results
E above lowest polymorph (meV per atom): 214
Total moment (μB per cell): 0.00
SG: Pm-3m
Energy of formation (eV/atom): 0.11

=====

Entry 2:
This record from the Alexandria database describes crystalline Tl2PtPb6 at its relaxed geometry. The functional is PBE-GGA.

```
Tl2PtPb6
1.0
3.6711 0.0000 0.0000
0.0000 7.8314 4.6462
0.0000 -7.8314 4.6462
Tl Pt Pb
2 1 6
Cartesian
0.0000 -5.1604 4.6462
0.0000 5.1604 4.6462
1.8356 0.0000 4.8654
0.0000 -1.8173 3.5186
0.0000 1.8173 3.5186
0.0000 0.0000 7.0917
1.8356 0.0000 1.1973
1.8356 -2.8090 6.3303
1.8356 2.8090 6.3303
```

Results
Total moment (μB per cell): 0.00
SG: Amm2
Energy of formation (eV/atom): -0.06

=====

Entry 3:
This record from the Alexandria database describes crystalline TlPtPb at its relaxed geometry. The functional is PBE-GGA.

```
TlPtPb
1.0
3.9736 0.0000 0.0000
-1.9868 3.4413 0.0000
0.0000 0.0000 5.9795
Tl Pt Pb
1 1 1
Cartesian
0.0000 0.0000 0.0000
0.0000 2.2942 4.2866
1.9868 1.1471 2.6843
```

Results
E above lowest polymorph (meV per atom): 99
Total moment (μB per cell): 0.00
SG: P3m1
Energy of formation (eV/atom): -0.06

=====

Entry 4:
This record from the Alexandria database describes crystalline TlPtPb at its relaxed geometry. The functional is PBE-GGA.

```
TlPtPb
1.0
-1.7184 1.7302 6.2813
1.7184 -1.7302 6.2813
1.7184 1.7302 -6.2813
Tl Pt Pb
1 1 1
Cartesian
0.0000 0.0000 0.0000
0.0000 0.0000 4.4523
0.0000 0.0000 9.0908
```

Results
E above lowest polymorph (meV per atom): 101
Total moment (μB per cell): 0.00
SG: Imm2
Energy of formation (eV/atom): -0.06

=====

Entry 5:
This record from the Alexandria database describes crystalline TlPtPb4 at its relaxed geometry. The functional is PBE-GGA.

```
TlPtPb4
1.0
0.0000 4.4979 4.4979
4.4979 0.0000 4.4979
4.4979 4.4979 0.0000
Tl Pt Pb
1 1 4
Cartesian
0.0000 0.0000 0.0000
2.2490 2.2490 2.2490
5.6174 3.3784 3.3784
3.3784 5.6174 3.3784
3.3784 3.3784 5.6174
5.6174 5.6174 5.6174
```

Results
E above lowest polymorph (meV per atom): 428
Total moment (μB per cell): 0.00
SG: F-43m
Energy of formation (eV/atom): 0.41

=====

Entry 6:
This record from the Alexandria database describes crystalline Tm3PtPb2 at its relaxed geometry. The functional is PBE-GGA.

```
Tm3PtPb2
1.0
12.2821 0.0000 0.0000
0.0000 4.4892 0.0000
0.0000 0.0000 11.5481
Tm Pt Pb
12 4 8
Cartesian
0.7114 1.1223 1.4958
1.4674 3.3669 6.3170
3.0586 1.1223 9.1565
3.0825 3.3669 3.3824
4.6737 1.1223 0.5429
5.4297 3.3669 7.2699
6.8525 1.1223 4.2783
7.6085 3.3669 11.0053
9.1997 1.1223 8.1657
9.2235 3.3669 2.3917
10.8147 1.1223 5.2312
11.5707 3.3669 10.0523
1.4570 1.1223 4.2882
4.6841 3.3669 10.0623
7.5980 1.1223 1.4858
10.8252 3.3669 7.2599
0.1791 1.1223 8.0946
2.2393 3.3669 0.0110
3.9018 1.1223 5.7851
5.9620 3.3669 2.3206
6.3202 1.1223 9.2276
8.3803 3.3669 5.7631
10.0429 1.1223 11.5371
12.1030 3.3669 3.4535
```

Results
E above lowest polymorph (meV per atom): 0
Total moment (μB per cell): 0.00
SG: Pnma
Energy of formation (eV/atom): -0.67

=====

Entry 7:
This record from the Alexandria database describes crystalline Tm6Pt2Pb at its relaxed geometry. The functional is PBE-GGA.

```
Tm6Pt2Pb
1.0
-4.6462 4.8227 5.2440
4.6462 -4.8227 5.2440
4.6462 4.8227 -5.2440
Tm Pt Pb
12 4 2
Cartesian
4.6462 2.8267 -2.7787
2.7289 1.7645 0.0000
6.5635 1.7645 0.0000
1.8102 4.8227 -1.7760
2.8360 0.0000 3.4680
0.0000 1.9960 2.4653
4.6462 2.8267 2.7787
1.8102 4.8227 1.7760
2.8360 0.0000 7.0200
-1.9173 3.0582 5.2440
1.9173 3.0582 5.2440
0.0000 1.9960 8.0227
4.6462 0.0000 1.4152
0.0000 3.2920 0.0000
0.0000 6.3534 0.0000
0.0000 4.8227 3.8289
0.0000 0.0000 0.0000
0.0000 0.0000 5.2440
```

Results
Total moment (μB per cell): 0.00
SG: Immm
Energy of formation (eV/atom): -0.77

=====

Entry 8:
This record from the Alexandria database describes crystalline Tm6PtPb2 at its relaxed geometry. The functional is PBE-GGA.

```
Tm6PtPb2
1.0
-2.5457 3.5674 7.4783
2.5457 -3.5674 7.4783
2.5457 3.5674 -7.4783
Tm Pt Pb
6 1 2
Cartesian
2.5457 1.7073 -2.2572
0.0000 1.6215 0.0000
2.5457 1.7073 2.2572
0.0000 1.8601 5.2211
0.0000 5.5132 0.0000
0.0000 1.8601 9.7355
2.5457 0.0000 0.0000
2.5457 0.0000 4.9010
0.0000 3.5674 2.5772
```

Results
Total moment (μB per cell): 0.00
SG: Immm
Energy of formation (eV/atom): -0.41

=====

Number 1: uncorrected energy -18.98 eV per cell, density of states at the Fermi level 4.2 states/eV/f.u.. Number 2: uncorrected energy -33.57 eV per cell, density of states at the Fermi level 3.9 states/eV/f.u.. Number 3: uncorrected energy -12.30 eV per cell, density of states at the Fermi level 1.7 states/eV/f.u.. Number 4: uncorrected energy -12.29 eV per cell, density of states at the Fermi level 1.6 states/eV/f.u.. Number 5: uncorrected energy -20.79 eV per cell, density of states at the Fermi level 2.6 states/eV/f.u.. Number 6: uncorrected energy -123.66 eV per cell, density of states at the Fermi level 3.5 states/eV/f.u.. Number 7: uncorrected energy -99.04 eV per cell, density of states at the Fermi level 7.7 states/eV/f.u.. Number 8: uncorrected energy -44.01 eV per cell, density of states at the Fermi level 8.2 states/eV/f.u..